Entry 1:
The following is a PBE calculation of an optimized crystal structure of PmTaPO, from the Open Quantum Materials Database.

## Properties
The value obtained for the energy is -0.60644 Ry/atom. For the volume, the calculation gives 148.7 Å³/cell. The calculation puts the total magnetization at 0.01 μB/f.u.

Lattice parameters (Å, degrees): 3.8392 5.9568 6.5003 90.00 90.00 90.00
Last column: nearest neighbours and their distance in Å.
Atoms (fractional coordinates):
Pm 0.0000 0.2339 0.0000  2 O 2.38-2.57
Pm 0.0000 0.7661 0.5000  2 O 2.38-2.57
Ta 0.5000 0.2886 0.4102  2 O 2.04
Ta 0.5000 0.7114 0.9102  2 O 2.04
P 0.5000 0.0554 0.7098  2 Ta 2.39-2.43
P 0.5000 0.9446 0.2098  2 Ta 2.39-2.43
O 0.0000 0.3938 0.3665  2 Ta 2.04
O 0.0000 0.6062 0.8665  2 Ta 2.04



Entry 2:
The following is a PBE calculation of an optimized crystal structure of HoPaNb, from the Open Quantum Materials Database.

## Properties
The value obtained for the energy is -0.54240 Ry/atom. For the volume, the calculation gives 325.7 Å³/cell. The calculation puts the total magnetization at 0.14 μB/f.u. The value obtained for the formation energy is 0.68 eV/atom.

Lattice parameters (Å, degrees): 6.8799 6.8799 6.8799 90.00 90.00 90.00
Last column: nearest neighbours and their distance in Å.
Atoms (fractional coordinates):
Ho 0.0000 0.0000 0.0000  4 Nb 2.98
Ho 0.0000 0.5000 0.5000  4 Nb 2.98
Ho 0.5000 0.0000 0.5000  4 Nb 2.98
Ho 0.5000 0.5000 0.0000  4 Nb 2.98
Pa 0.0000 0.0000 0.5000  4 Nb 2.98
Pa 0.0000 0.5000 0.0000  4 Nb 2.98
Pa 0.5000 0.0000 0.0000  4 Nb 2.98
Pa 0.5000 0.5000 0.5000  4 Nb 2.98
Nb 0.2500 0.2500 0.2500  4 Ho 2.98, 4 Pa 2.98
Nb 0.2500 0.7500 0.7500  4 Ho 2.98, 4 Pa 2.98
Nb 0.7500 0.2500 0.7500  4 Ho 2.98, 4 Pa 2.98
Nb 0.7500 0.7500 0.2500  4 Ho 2.98, 4 Pa 2.98



Entry 3:
The following is a PBE calculation of an optimized crystal structure of InNiPd2, from the Open Quantum Materials Database.

## Properties
The value obtained for the energy is -0.36171 Ry/atom. For the volume, the calculation gives 247.0 Å³/cell. The calculation puts the total magnetization at 0.01 μB/f.u.

Lattice parameters (Å, degrees): 6.2741 6.2741 6.2741 90.00 90.00 90.00
Last column: nearest neighbours and their distance in Å.
Atoms (fractional coordinates):
In 0.0000 0.0000 0.0000  4 Ni 2.72, 4 Pd 2.72
In 0.0000 0.5000 0.5000  4 Ni 2.72, 4 Pd 2.72
In 0.5000 0.0000 0.5000  4 Ni 2.72, 4 Pd 2.72
In 0.5000 0.5000 0.0000  4 Ni 2.72, 4 Pd 2.72
Ni 0.2500 0.2500 0.2500  4 In 2.72, 4 Pd 2.72
Ni 0.2500 0.7500 0.7500  4 Pd 2.72, 4 In 2.72
Ni 0.7500 0.2500 0.7500  4 Pd 2.72, 4 In 2.72
Ni 0.7500 0.7500 0.2500  4 Pd 2.72, 4 In 2.72
Pd 0.0000 0.0000 0.5000  4 Pd 2.72, 4 Ni 2.72
Pd 0.0000 0.5000 0.0000  4 Pd 2.72, 4 Ni 2.72
Pd 0.2500 0.2500 0.7500  4 In 2.72, 4 Pd 2.72
Pd 0.2500 0.7500 0.2500  4 In 2.72, 4 Pd 2.72
Pd 0.5000 0.0000 0.0000  4 Pd 2.72, 4 Ni 2.72
Pd 0.5000 0.5000 0.5000  4 Pd 2.72, 4 Ni 2.72
Pd 0.7500 0.2500 0.2500  4 In 2.72, 4 Pd 2.72
Pd 0.7500 0.7500 0.7500  4 In 2.72, 4 Pd 2.72



Entry 4:
The following is a PBE calculation of an optimized crystal structure of SmAs2O, from the Open Quantum Materials Database.

## Properties
The value obtained for the energy is -0.37504 Ry/atom. For the volume, the calculation gives 161.3 Å³/cell. The calculation puts the total magnetization at 0.00 μB/f.u.

Lattice parameters (Å, degrees): 4.6899 4.6899 7.3346 90.00 90.00 90.00
Last column: nearest neighbours and their distance in Å.
Atoms (fractional coordinates):
Sm 0.2500 0.7500 0.0000  4 As 2.83
Sm 0.7500 0.2500 0.0000  4 As 2.83
As 0.2500 0.2500 0.2167  1 As 2.46
As 0.2500 0.2500 0.5526  4 O 2.38, 1 As 2.46
As 0.7500 0.7500 0.4474  4 O 2.38, 1 As 2.46
As 0.7500 0.7500 0.7833  1 As 2.46
O 0.2500 0.7500 0.5000  4 As 2.38
O 0.7500 0.2500 0.5000  4 As 2.38



Entry 5:
The following is a PBE calculation of an optimized crystal structure of Rb2PdCl2F2, from the Open Quantum Materials Database.

## Properties
The value obtained for the energy is -0.28170 Ry/atom. For the volume, the calculation gives 332.6 Å³/cell.

Lattice parameters (Å, degrees): 8.0786 10.5363 3.9073 90.00 90.00 90.00
Last column: nearest neighbours and their distance in Å.
Atoms (fractional coordinates):
Rb 0.2500 0.2500 0.0000  4 F 2.88
Rb 0.2500 0.7500 0.0000  4 F 2.88
Rb 0.7500 0.2500 0.0000  4 F 2.88
Rb 0.7500 0.7500 0.0000  4 F 2.88
Pd 0.0000 0.0000 0.5000  2 F 2.01
Pd 0.5000 0.5000 0.5000  2 F 2.01
Cl 0.2129 0.5000 0.5000  1 Pd 2.32
Cl 0.2871 0.0000 0.5000  1 Pd 2.32
Cl 0.7129 0.0000 0.5000  1 Pd 2.32
Cl 0.7871 0.5000 0.5000  1 Pd 2.32
F 0.0000 0.1908 0.5000  1 Pd 2.01
F 0.0000 0.8092 0.5000  1 Pd 2.01
F 0.5000 0.3092 0.5000  1 Pd 2.01
F 0.5000 0.6908 0.5000  1 Pd 2.01



Entry 6:
The following is a PBE calculation of an optimized crystal structure of Pt4AuCl, from the Open Quantum Materials Database.

## Properties
The value obtained for the energy is -0.32944 Ry/atom. For the volume, the calculation gives 104.5 Å³/cell. The calculation puts the total magnetization at 0.02 μB/f.u.

Lattice parameters (Å, degrees): 6.0092 6.0092 6.0092 46.57 46.57 46.57
Last column: nearest neighbours and their distance in Å.
Atoms (fractional coordinates):
Pt 0.1660 0.1660 0.1660  4 Pt 2.62-2.74, 1 Cl 2.66, 3 Au 2.74
Pt 0.3291 0.3291 0.3291  4 Pt 2.62-2.75, 1 Au 2.74, 3 Cl 2.74
Pt 0.6709 0.6709 0.6709  4 Pt 2.62-2.75, 1 Au 2.74, 3 Cl 2.74
Pt 0.8340 0.8340 0.8340  4 Pt 2.62-2.74, 1 Cl 2.66, 3 Au 2.74
Au 0.5000 0.5000 0.5000  8 Pt 2.74
Cl 0.0000 0.0000 0.0000  8 Pt 2.66-2.74